No. 1
# PBE MgBeSb, optimized geometry
data_MgBeSb
_symmetry_space_group_name_H-M 'P m m 2'
_symmetry_Int_Tables_number 25
_symmetry_space_group_name_Hall 'P 2 -2'
_cell_length_a 3.843
_cell_length_b 4.359
_cell_length_c 7.095
_cell_angle_alpha 90.00
_cell_angle_beta 90.00
_cell_angle_gamma 90.00
loop_
_atom_site_label
_atom_site_fract_x
_atom_site_fract_y
_atom_site_fract_z
_atom_site_occupancy
Mg1 0.000 0.000 0.000 1
Mg2 0.500 0.000 0.432 1
Be1 0.000 0.251 0.642 1
Sb1 0.000 0.500 0.308 1
Sb2 0.500 0.500 0.826 1
# - calculated density (g/cm³) = 4.33



No. 2
# PBE Mg2BeSb, optimized geometry
data_Mg2BeSb
_symmetry_space_group_name_H-M 'P 4/m m m'
_symmetry_Int_Tables_number 123
_symmetry_space_group_name_Hall '-P 4 2'
_cell_length_a 3.131
_cell_length_b 3.131
_cell_length_c 8.076
_cell_angle_alpha 90.00
_cell_angle_beta 90.00
_cell_angle_gamma 90.00
loop_
_atom_site_label
_atom_site_fract_x
_atom_site_fract_y
_atom_site_fract_z
_atom_site_occupancy
Mg1 0.000 0.000 0.194 1
Be1 0.500 0.500 0.000 1
Sb1 0.500 0.500 0.500 1
# - calculated density (g/cm³) = 3.76



Number 1: distance to the lowest polymorph of the same formula 66 meV per atom, formation energy without anion corrections 0.029 eV/atom, DFT total energy -0.1146 Ha/atom. Number 2: distance to the lowest polymorph of the same formula 116 meV per atom, formation energy without anion corrections 0.158 eV/atom, DFT total energy -0.0956 Ha/atom.